(1)
Entry from Alexandria via LeMat-Bulk: a relaxed structure of CsAlZn2F8 (PBE).

Cell: 5.641 5.641 9.025 Å, 71.79 71.79 60.00°
Positions (direct):
Cs: 0.000 0.000 0.000
Al: 0.500 0.500 0.500
Zn: 0.761 0.761 0.716
Zn: 0.239 0.239 0.284
F: 0.688 0.688 0.937
F: 0.312 0.312 0.063
F: 0.392 0.392 0.373
F: 0.608 0.608 0.627
F: 0.156 0.608 0.627
F: 0.392 0.844 0.373
F: 0.844 0.392 0.373
F: 0.608 0.156 0.627

## Properties
As for the uncorrected formation energy: -2.76 eV/atom. The magnetic moment is 0.12 μB/cell. As for the density of states at the Fermi level: 0.00 states/eV/atom. The total DFT energy (no corrections) comes out at -4.599 eV per atom.



(2)
Entry from Alexandria via LeMat-Bulk: a relaxed structure of Cs2AlZnF6 (PBE).

Cell: 6.271 6.271 6.252 Å, 59.90 59.90 90.00°
Site moments in Bohr magnetons follow the coordinates.
Positions (direct):
Cs: 0.750 0.250 0.500  0.01
Cs: 0.250 0.750 0.500  0.01
Zn: 0.000 0.000 0.000  0.45
Al: 0.500 0.500 0.000  0.01
F: 0.289 0.289 0.422  0.03
F: 0.711 0.711 0.578  0.03
F: 0.291 0.291 0.000  0.03
F: 0.709 0.709 0.000  0.03
F: 0.709 0.291 0.000  0.03
F: 0.291 0.709 0.000  0.03

## Properties
As for the uncorrected formation energy: -2.75 eV/atom. The magnetic moment is 1.00 μB/cell. As for the density of states at the Fermi level: 0.25 states/eV/atom. The total DFT energy (no corrections) comes out at -4.548 eV per atom.



(3)
Entry from Alexandria via LeMat-Bulk: a relaxed structure of CsAlGa2Fe (PBE).

Cell: 4.772 5.568 4.772 Å, 90.00 90.00 90.00°
Positions (direct):
Cs: 0.000 0.500 0.000
Fe: 0.000 0.000 0.000
Ga: 0.000 0.000 0.500
Ga: 0.500 0.000 0.000
Al: 0.500 0.500 0.500

## Properties
The magnetic moment is 0.00 μB/cell. As for the density of states at the Fermi level: 0.65 states/eV/atom. The total DFT energy (no corrections) comes out at -3.116 eV per atom. As for the formation energy: 706 meV per atom.



(4)
Entry from Alexandria via LeMat-Bulk: a relaxed structure of CsAlFeH6 (PBE).

Cell: 4.309 4.309 6.563 Å, 90.00 90.00 60.00°
Site moments in Bohr magnetons follow the coordinates.
Positions (direct):
Cs: 0.000 0.000 0.000  0.00
Al: 0.667 0.667 0.500  0.00
Fe: 0.333 0.333 0.500  -0.09
H: 0.044 0.334 0.350  0.00
H: 0.334 0.044 0.650  0.00
H: 0.622 0.334 0.650  0.00
H: 0.044 0.622 0.650  0.00
H: 0.334 0.622 0.350  0.00
H: 0.622 0.044 0.350  0.00

## Properties
The magnetic moment is 0.08 μB/cell. The total DFT energy (no corrections) comes out at -3.881 eV per atom.



(5)
Entry from Alexandria via LeMat-Bulk: a relaxed structure of CsAlFeH2 (PBE).

Cell: 3.971 7.313 3.971 Å, 90.00 90.00 90.00°
Site moments in Bohr magnetons follow the coordinates.
Positions (direct):
Cs: 0.000 0.500 0.000  -0.02
H: 0.000 0.000 0.500  0.00
H: 0.500 0.000 0.000  0.00
Fe: 0.500 0.500 0.500  2.61
Al: 0.000 0.000 0.000  -0.02

## Properties
The magnetic moment is 2.39 μB/cell. As for the density of states at the Fermi level: 1.30 states/eV/atom. The total DFT energy (no corrections) comes out at -2.620 eV per atom.



(6)
Entry from Alexandria via LeMat-Bulk: a relaxed structure of Cs2HfAlFe (PBE).

Cell: 6.700 4.519 6.700 Å, 90.00 90.00 90.00°
Site moments in Bohr magnetons follow the coordinates.
Positions (direct):
Cs: 0.000 0.000 0.500  0.03
Cs: 0.500 0.000 0.000  0.03
Hf: 0.000 0.500 0.000  0.07
Fe: 0.000 0.000 0.000  -0.10
Al: 0.500 0.500 0.500  0.11

## Properties
The magnetic moment is 1.08 μB/cell. As for the density of states at the Fermi level: 1.34 states/eV/atom. The total DFT energy (no corrections) comes out at -3.454 eV per atom. As for the formation energy: 1319 meV per atom.